1.
An optimized crystal structure of ZrBr. Source: Alexandria via LeMat-Bulk, functional PBE.

Unit cell a=8.6919 b=8.6919 c=8.6919 alpha=90.00 beta=90.00 gamma=90.00
Element x y z (fractional)
Zr (0.3827, 0.3827, 0.3827)
Zr (0.1173, 0.1173, 0.8827)
Br (0.1907, 0.1907, 0.1907)
Zr (0.6173, 0.3827, 0.6173)
Zr (0.6173, 0.6173, 0.3827)
Br (0.8093, 0.8093, 0.1907)
Br (0.1907, 0.8093, 0.8093)
Zr (0.1173, 0.8827, 0.1173)
Br (0.6907, 0.3093, 0.3093)
Br (0.3093, 0.3093, 0.6907)
Br (0.3093, 0.6907, 0.3093)
Zr (0.8827, 0.1173, 0.1173)
Zr (0.3827, 0.6173, 0.6173)
Zr (0.8827, 0.8827, 0.8827)
Br (0.6907, 0.6907, 0.6907)
Br (0.8093, 0.1907, 0.8093)

## Properties
Its density of states at the Fermi level is 13.23 states/eV/cell. The value obtained for the energy above the most stable polymorph in this dataset is 935.2 meV/atom. The space-group type is No. 217.



2.
An optimized crystal structure of ZrBr. Source: Alexandria via LeMat-Bulk, functional PBE.

Unit cell a=9.9168 b=9.9168 c=3.3019 alpha=90.00 beta=90.00 gamma=160.84
Element x y z (fractional)
Zr (0.8099, 0.1901, 0.7500)
Zr (0.1901, 0.8099, 0.2500)
Br (0.6003, 0.3997, 0.7500)
Br (0.3997, 0.6003, 0.2500)

## Properties
Its density of states at the Fermi level is 3.27 states/eV/cell. The value obtained for the energy above the most stable polymorph in this dataset is 264.5 meV/atom. The space-group type is No. 63.



3.
An optimized crystal structure of ZrBr. Source: Alexandria via LeMat-Bulk, functional PBE.

Unit cell a=5.1829 b=5.1829 c=5.1829 alpha=60.00 beta=60.00 gamma=60.00
Each line ends with the local moment (μB).
Element x y z (fractional)
Zr (0.7500, 0.7500, 0.7500)  1.22
Br (0.2500, 0.2500, 0.2500)  0.10
Zr (0.5000, 0.5000, 0.5000)  1.22
Br (0.0000, 0.0000, 0.0000)  0.10

## Properties
Its density of states at the Fermi level is 4.66 states/eV/cell. The value obtained for the energy above the most stable polymorph in this dataset is 1340.7 meV/atom. The space-group type is No. 227.



4.
An optimized crystal structure of ZrBr. Source: Alexandria via LeMat-Bulk, functional PBE.

Unit cell a=3.4433 b=3.4433 c=3.4433 alpha=90.00 beta=90.00 gamma=90.00
Each line ends with the local moment (μB).
Element x y z (fractional)
Br (0.0000, 0.0000, 0.0000)  0.01
Zr (0.5000, 0.5000, 0.5000)  0.33

## Properties
Its density of states at the Fermi level is 2.81 states/eV/cell. The value obtained for the energy above the most stable polymorph in this dataset is 911.1 meV/atom. The space-group type is No. 221.



5.
An optimized crystal structure of ZrBr. Source: Alexandria via LeMat-Bulk, functional PBE.

Unit cell a=5.5985 b=5.5985 c=5.6346 alpha=90.00 beta=90.00 gamma=90.00
Element x y z (fractional)
Zr (0.8068, 0.8068, 0.0000)
Br (0.2070, 0.2070, 0.5000)
Br (0.7930, 0.7930, 0.5000)
Zr (0.6932, 0.3068, 0.5000)
Zr (0.3068, 0.6932, 0.5000)
Br (0.7070, 0.2930, 0.0000)
Br (0.2930, 0.7070, 0.0000)
Zr (0.1932, 0.1932, 0.0000)

## Properties
Its density of states at the Fermi level is 8.22 states/eV/cell. The value obtained for the energy above the most stable polymorph in this dataset is 983.7 meV/atom. The space-group type is No. 136.



6.
An optimized crystal structure of ZrBr. Source: Alexandria via LeMat-Bulk, functional PBE.

Unit cell a=6.7557 b=6.7557 c=6.7557 alpha=40.41 beta=40.41 gamma=40.41
Element x y z (fractional)
Br (0.9107, 0.9107, 0.9107)
Br (0.0893, 0.0893, 0.0893)
Zr (0.3268, 0.3268, 0.3268)
Zr (0.6732, 0.6732, 0.6732)

## Properties
Its density of states at the Fermi level is 5.94 states/eV/cell. The value obtained for the energy above the most stable polymorph in this dataset is 1368.8 meV/atom. The space-group type is No. 166.



7.
An optimized crystal structure of Zr4Br. Source: Alexandria via LeMat-Bulk, functional PBE.

Unit cell a=8.8147 b=8.8147 c=8.8147 alpha=154.51 beta=154.51 gamma=36.36
Element x y z (fractional)
Zr (0.3973, 0.3973, 0.0000)
Zr (0.2500, 0.7500, 0.5000)
Zr (0.6027, 0.6027, 0.0000)
Br (0.0000, 0.0000, 0.0000)
Zr (0.7500, 0.2500, 0.5000)

## Properties
Its density of states at the Fermi level is 6.75 states/eV/cell. The value obtained for the energy above the most stable polymorph in this dataset is 477.9 meV/atom. The space-group type is No. 139.



8.
An optimized crystal structure of Zr4Br. Source: Alexandria via LeMat-Bulk, functional PBE.

Unit cell a=4.9892 b=4.9892 c=4.9892 alpha=90.00 beta=90.00 gamma=90.00
Element x y z (fractional)
Zr (0.5000, 0.5000, 0.0000)
Zr (0.0000, 0.5000, 0.5000)
Br (0.5000, 0.5000, 0.5000)
Zr (0.5000, 0.0000, 0.5000)
Zr (0.0000, 0.0000, 0.0000)

## Properties
Its density of states at the Fermi level is 3.67 states/eV/cell. The value obtained for the energy above the most stable polymorph in this dataset is 296.4 meV/atom. The space-group type is No. 221.



9.
An optimized crystal structure of ZrBr4. Source: Alexandria via LeMat-Bulk, functional PBE.

Unit cell a=12.5012 b=12.5012 c=12.5012 alpha=90.00 beta=90.00 gamma=90.00
Element x y z (fractional)
Br (0.2528, 0.5246, 0.0113)
Br (0.7528, 0.5246, 0.4887)
Zr (0.8669, 0.8669, 0.8669)
Br (0.2521, 0.7521, 0.7479)
Br (0.4754, 0.5113, 0.2472)
Br (0.9754, 0.9887, 0.7528)
Br (0.2521, 0.7479, 0.2479)
Br (0.7521, 0.7521, 0.7521)
Br (0.5246, 0.0113, 0.2528)
Br (0.9887, 0.7528, 0.9754)
Br (0.5113, 0.2528, 0.9754)
Br (0.0246, 0.0113, 0.2472)
Br (0.7528, 0.9754, 0.9887)
Zr (0.3669, 0.8669, 0.6331)
Br (0.4754, 0.9887, 0.7472)
Br (0.7521, 0.7479, 0.2521)
Br (0.4887, 0.7472, 0.0246)
Zr (0.6331, 0.3669, 0.8669)
Br (0.0246, 0.4887, 0.7472)
Br (0.0113, 0.2528, 0.5246)
Zr (0.6331, 0.1331, 0.3669)
Zr (0.8669, 0.6331, 0.3669)
Zr (0.1331, 0.3669, 0.6331)
Br (0.2479, 0.2479, 0.2479)
Br (0.5113, 0.2472, 0.4754)
Br (0.4887, 0.7528, 0.5246)
Br (0.2479, 0.2521, 0.7479)
Br (0.7479, 0.2521, 0.7521)
Zr (0.1331, 0.1331, 0.1331)
Br (0.7472, 0.4754, 0.9887)
Br (0.2472, 0.0246, 0.0113)
Br (0.0113, 0.2472, 0.0246)
Br (0.7472, 0.0246, 0.4887)
Br (0.2472, 0.4754, 0.5113)
Br (0.2528, 0.9754, 0.5113)
Br (0.5246, 0.4887, 0.7528)
Br (0.9887, 0.7472, 0.4754)
Zr (0.3669, 0.6331, 0.1331)
Br (0.7479, 0.2479, 0.2521)
Br (0.9754, 0.5113, 0.2528)

## Properties
Its density of states at the Fermi level is 0.00 states/eV/cell. The space-group type is No. 205.



10.
An optimized crystal structure of ZrBr. Source: Alexandria via LeMat-Bulk, functional PBE.

Unit cell a=4.4961 b=4.4961 c=5.5332 alpha=90.00 beta=90.00 gamma=120.00
Element x y z (fractional)
Br (0.6667, 0.3333, 0.7500)
Zr (0.0000, 0.0000, 0.0000)
Zr (0.0000, 0.0000, 0.5000)
Br (0.3333, 0.6667, 0.2500)

## Properties
Its density of states at the Fermi level is 3.66 states/eV/cell. The value obtained for the energy above the most stable polymorph in this dataset is 991.9 meV/atom. The space-group type is No. 194.



11.
An optimized crystal structure of ZrBr7. Source: Alexandria via LeMat-Bulk, functional PBE.

Unit cell a=6.5641 b=6.5641 c=6.5641 alpha=60.00 beta=60.00 gamma=60.00
Each line ends with the local moment (μB).
Element x y z (fractional)
Br (0.5000, 0.5000, 0.5000)  -0.01
Br (0.0000, 0.5000, 0.0000)  -0.06
Br (0.0000, 0.0000, 0.5000)  -0.06
Br (0.0000, 0.5000, 0.5000)  -0.06
Br (0.5000, 0.0000, 0.5000)  -0.06
Zr (0.0000, 0.0000, 0.0000)  0.53
Br (0.5000, 0.5000, 0.0000)  -0.06
Br (0.5000, 0.0000, 0.0000)  -0.06

## Properties
Its density of states at the Fermi level is 11.65 states/eV/cell. The space-group type is No. 225.



12.
An optimized crystal structure of ZrBr. Source: Alexandria via LeMat-Bulk, functional PBE.

Unit cell a=3.3309 b=4.8557 c=5.1291 alpha=90.00 beta=90.00 gamma=90.00
Element x y z (fractional)
Zr (0.5000, 0.0000, 0.4599)
Br (0.0000, 0.0000, 0.9356)
Br (0.0000, 0.5000, 0.3977)
Zr (0.5000, 0.5000, 0.8734)

## Properties
Its density of states at the Fermi level is 4.19 states/eV/cell. The value obtained for the energy above the most stable polymorph in this dataset is 903.9 meV/atom. The space-group type is No. 51.



Computed values of energy relative to the elements, uncorrected (unit: eV per atom) for the preceding records, in sequence: -0.05 -0.72 0.35 -0.08 -0.01 0.38 0.46 0.28 -1.33 0.00 0.22 -0.09.